(1)
{"formula": "ZrCd2GaSb", "functional": "PBE", "state": "optimized geometry", "lattice": [[5.6687, 0.0000, 0.0000], [0.0000, 5.4998, 0.0000], [0.0000, 0.0000, 5.6687]], "species": ["Sb", "Ga", "Zr", "Cd", "Cd"], "frac_coords": [[0.0000, 0.5000, 0.0000], [0.5000, 0.5000, 0.5000], [0.0000, 0.0000, 0.0000], [0.0000, 0.0000, 0.5000], [0.5000, 0.0000, 0.0000]], "raw_formation_energy_mev_per_atom": 487, "magmom_total_mub_per_cell": 0.000, "rho_g_cm3": 4.8}



(2)
{"formula": "ScCdGa", "functional": "PBE", "state": "optimized geometry", "lattice": [[-4.3910, 2.4612, -2.0686], [-5.0382, -2.2545, 2.4454], [1.2137, 1.5509, 3.9335]], "species": ["Sc", "Sc", "Ga", "Ga", "Cd", "Cd"], "frac_coords": [[0.8709, 0.4143, 0.5260], [0.2847, 0.0069, 0.2331], [0.6275, 0.7293, 0.9044], [0.2334, 0.5148, 0.2066], [0.9434, 0.8886, 0.5624], [0.5597, 0.2388, 0.8705]], "formation_enthalpy_0k_kj_per_mol_atoms": -31.2, "magmom_total_mub_per_cell": 0.000, "rho_g_cm3": 6.2}



(3)
{"formula": "Sc2CdGa9", "functional": "PBE", "state": "optimized geometry", "lattice": [[4.1418, 0.0000, 0.0000], [0.0000, 4.1418, 0.0000], [0.0000, 0.0000, 12.8871]], "species": ["Sc", "Sc", "Cd", "Ga", "Ga", "Ga", "Ga", "Ga", "Ga", "Ga", "Ga", "Ga"], "frac_coords": [[0.0000, 0.0000, 0.3438], [0.0000, 0.0000, 0.6562], [0.0000, 0.0000, 0.0000], [0.5000, 0.5000, 0.0000], [0.5000, 0.5000, 0.3395], [0.5000, 0.5000, 0.6605], [0.5000, 0.0000, 0.1755], [0.5000, 0.0000, 0.5000], [0.5000, 0.0000, 0.8245], [0.0000, 0.5000, 0.1755], [0.0000, 0.5000, 0.5000], [0.0000, 0.5000, 0.8245]], "formation_enthalpy_0k_kj_per_mol_atoms": -26.7, "magmom_total_mub_per_cell": 0.000, "rho_g_cm3": 6.2}



(4)
{"formula": "ScCdGa", "functional": "PBE", "state": "optimized geometry", "lattice": [[4.4464, 0.0002, 0.0132], [-0.0001, 4.1108, 0.0002], [-2.2422, 0.0001, 6.5773]], "species": ["Sc", "Sc", "Ga", "Ga", "Cd", "Cd"], "frac_coords": [[0.6875, 0.3338, 0.0810], [0.3737, 0.3337, 0.4520], [0.5323, 0.8338, 0.7699], [0.2069, 0.8339, 0.1185], [0.0337, 0.3334, 0.7727], [0.8607, 0.8336, 0.4264]], "formation_enthalpy_0k_kj_per_mol_atoms": -34.3, "magmom_total_mub_per_cell": 0.000, "rho_g_cm3": 6.3}



(5)
{"formula": "ScCdGa", "functional": "PBE", "state": "optimized geometry", "lattice": [[0.0000, 3.3027, 3.3027], [3.3027, 0.0000, 3.3027], [3.3027, 3.3027, 0.0000]], "species": ["Sc", "Ga", "Cd"], "frac_coords": [[0.5000, 0.5000, 0.5000], [0.2500, 0.2500, 0.2500], [0.7500, 0.7500, 0.7500]], "formation_enthalpy_0k_kj_per_mol_atoms": 5.5, "magmom_total_mub_per_cell": 0.000, "rho_g_cm3": 5.2}



(6)
{"formula": "Sc5CdGa2", "functional": "PBE", "state": "optimized geometry", "lattice": [[-1.4071, -3.3223, 2.1734], [5.6355, 0.3863, 0.1575], [-0.9712, 8.8876, 12.9572]], "species": ["Sc", "Sc", "Sc", "Sc", "Sc", "Sc", "Sc", "Sc", "Sc", "Sc", "Cd", "Cd", "Ga", "Ga", "Ga", "Ga"], "frac_coords": [[0.9570, 0.9141, 0.9025], [0.9570, 0.9141, 0.5975], [0.3436, 0.6872, 0.4598], [0.3436, 0.6872, 0.0402], [0.4590, 0.9181, 0.2500], [0.5410, 0.0819, 0.7500], [0.6564, 0.3128, 0.5402], [0.6564, 0.3128, 0.9598], [0.0430, 0.0859, 0.0975], [0.0430, 0.0859, 0.4025], [0.8188, 0.6377, 0.7500], [0.1812, 0.3623, 0.2500], [0.7666, 0.5332, 0.3531], [0.7666, 0.5332, 0.1469], [0.2334, 0.4668, 0.6469], [0.2334, 0.4668, 0.8531]], "e_above_lowest_polymorph_mev_per_atom": 168, "formation_enthalpy_0k_kj_per_mol_atoms": -22.2, "magmom_total_mub_per_cell": 0.001, "rho_g_cm3": 4.6}



(7)
{"formula": "ScCdGa", "functional": "PBE", "state": "optimized geometry", "lattice": [[3.1671, 0.0000, 0.0000], [0.0000, 3.1671, 0.0000], [-1.5836, -1.5836, 6.0569]], "species": ["Sc", "Ga", "Cd"], "frac_coords": [[0.6277, 0.6277, 0.2555], [0.2783, 0.2783, 0.5566], [0.9439, 0.9439, 0.8879]], "formation_enthalpy_0k_kj_per_mol_atoms": -26.7, "magmom_total_mub_per_cell": 0.306, "rho_g_cm3": 6.2}



(8)
{"formula": "ScCd2Ga2", "functional": "PBE", "state": "optimized geometry", "lattice": [[4.2049, 0.0000, 0.0000], [0.0000, 4.2049, 0.0000], [2.1024, 2.1024, 5.8358]], "species": ["Sc", "Ga", "Ga", "Cd", "Cd"], "frac_coords": [[0.0000, 0.0000, 0.0000], [0.3992, 0.3992, 0.2016], [0.6008, 0.6008, 0.7984], [0.7500, 0.2500, 0.5000], [0.2500, 0.7500, 0.5000]], "e_above_lowest_polymorph_mev_per_atom": 0, "formation_enthalpy_0k_kj_per_mol_atoms": -15.2, "magmom_total_mub_per_cell": 0.000, "rho_g_cm3": 6.6}



(9)
{"formula": "ScCd2Ga", "functional": "PBE", "state": "optimized geometry", "lattice": [[3.1027, 0.0000, 0.0000], [1.5513, 2.6870, 0.0000], [1.5513, 0.8957, 10.9028]], "species": ["Sc", "Ga", "Cd", "Cd"], "frac_coords": [[0.0000, 0.0000, 0.0000], [0.5000, 0.5000, 0.5000], [0.0913, 0.0913, 0.7260], [0.9087, 0.9087, 0.2740]], "formation_enthalpy_0k_kj_per_mol_atoms": 16.1, "magmom_total_mub_per_cell": 0.000, "rho_g_cm3": 6.2}



(10)
{"formula": "Sc6CdGa", "functional": "PBE", "state": "optimized geometry", "lattice": [[-3.0882, 5.0673, 5.2666], [-7.6152, -0.5972, 2.0876], [-2.7416, -0.5175, 4.8597]], "species": ["Sc", "Sc", "Sc", "Sc", "Sc", "Sc", "Cd", "Ga"], "frac_coords": [[0.0005, 0.4951, 0.7496], [0.7547, 0.9964, 0.7481], [0.5067, 0.2450, 0.2456], [0.2453, 0.0036, 0.2519], [0.9995, 0.5049, 0.2504], [0.4933, 0.7550, 0.7544], [0.5000, 0.5000, 0.5000], [0.0000, 0.0000, 0.0000]], "e_above_lowest_polymorph_mev_per_atom": 46, "formation_enthalpy_0k_kj_per_mol_atoms": -17.0, "magmom_total_mub_per_cell": 0.006, "rho_g_cm3": 4.3}



(11)
{"formula": "ScCdGa3", "functional": "PBE", "state": "optimized geometry", "lattice": [[5.2756, 0.0000, 0.0000], [0.0000, 5.2756, 0.0000], [0.0000, 0.0000, 5.2756]], "species": ["Sc", "Ga", "Ga", "Ga", "Cd"], "frac_coords": [[0.0000, 0.0000, 0.0000], [0.0000, 0.5000, 0.0000], [0.0000, 0.0000, 0.5000], [0.5000, 0.0000, 0.0000], [0.5000, 0.5000, 0.5000]], "e_above_lowest_polymorph_mev_per_atom": 23, "formation_enthalpy_0k_kj_per_mol_atoms": 49.9, "magmom_total_mub_per_cell": 0.000, "rho_g_cm3": 4.1}



(12)
{"formula": "ScCd2Ga2", "functional": "PBE", "state": "optimized geometry", "lattice": [[7.4405, 0.0000, 0.0000], [0.0000, 7.4405, 0.0000], [0.0000, 0.0000, 3.8043]], "species": ["Sc", "Sc", "Ga", "Ga", "Ga", "Ga", "Cd", "Cd", "Cd", "Cd"], "frac_coords": [[0.0000, 0.0000, 0.0000], [0.5000, 0.5000, 0.0000], [0.3747, 0.8747, 0.0000], [0.8747, 0.6253, 0.0000], [0.6253, 0.1253, 0.0000], [0.1253, 0.3747, 0.0000], [0.1769, 0.6769, 0.5000], [0.6769, 0.8231, 0.5000], [0.8231, 0.3231, 0.5000], [0.3231, 0.1769, 0.5000]], "e_above_lowest_polymorph_mev_per_atom": 57, "formation_enthalpy_0k_kj_per_mol_atoms": -9.7, "magmom_total_mub_per_cell": 0.000, "rho_g_cm3": 6.5}



(13)
{"formula": "Sc11Cd9Ga4", "functional": "PBE", "state": "optimized geometry", "lattice": [[3.3935, 0.0000, 0.0000], [0.0000, 11.7268, -4.9964], [0.0000, 0.0140, 12.7468]], "species": ["Sc", "Sc", "Sc", "Sc", "Sc", "Sc", "Sc", "Sc", "Sc", "Sc", "Sc", "Cd", "Cd", "Cd", "Cd", "Cd", "Cd", "Cd", "Cd", "Cd", "Ga", "Ga", "Ga", "Ga"], "frac_coords": [[0.0000, 0.5905, 0.9407], [0.0000, 0.4095, 0.0593], [0.0000, 0.9407, 0.5905], [0.0000, 0.0593, 0.4095], [0.0000, 0.6290, 0.3710], [0.0000, 0.3710, 0.6290], [0.0000, 0.8376, 0.1624], [0.0000, 0.1624, 0.8376], [0.0000, 0.0000, 0.0000], [0.0000, 0.6990, 0.6990], [0.0000, 0.3010, 0.3010], [0.5000, 0.6302, 0.1572], [0.5000, 0.3698, 0.8428], [0.5000, 0.1572, 0.6302], [0.5000, 0.8428, 0.3698], [0.5000, 0.7868, 0.9334], [0.5000, 0.2132, 0.0666], [0.5000, 0.9334, 0.7868], [0.5000, 0.0666, 0.2132], [0.5000, 0.5000, 0.5000], [0.5000, 0.5520, 0.7542], [0.5000, 0.4480, 0.2458], [0.5000, 0.7542, 0.5520], [0.5000, 0.2458, 0.4480]], "formation_enthalpy_0k_kj_per_mol_atoms": -36.0, "magmom_total_mub_per_cell": 0.734, "rho_g_cm3": 5.8}



(14)
{"formula": "Sc5CdGa2", "functional": "PBE", "state": "optimized geometry", "lattice": [[6.8849, 0.0000, -3.2501], [-1.5342, 6.7118, -3.2501], [-0.4318, -0.5416, 8.0029]], "species": ["Sc", "Sc", "Sc", "Sc", "Sc", "Sc", "Sc", "Sc", "Sc", "Sc", "Cd", "Cd", "Ga", "Ga", "Ga", "Ga"], "frac_coords": [[0.5025, 0.7006, 0.7031], [0.7994, 0.9975, 0.2969], [0.0000, 0.0000, 0.0000], [0.5000, 0.5000, 0.0000], [0.2006, 0.0025, 0.7031], [0.7006, 0.2006, 0.7031], [0.0025, 0.5025, 0.7031], [0.2994, 0.7994, 0.2969], [0.9975, 0.4975, 0.2969], [0.4975, 0.2994, 0.2969], [0.7500, 0.7500, 0.5000], [0.2500, 0.2500, 0.5000], [0.1491, 0.3509, 0.0000], [0.6491, 0.1491, 0.0000], [0.3509, 0.8509, 0.0000], [0.8509, 0.6491, 0.0000]], "e_above_lowest_polymorph_mev_per_atom": 0, "formation_enthalpy_0k_kj_per_mol_atoms": -38.4, "magmom_total_mub_per_cell": 0.001, "rho_g_cm3": 4.6}



(15)
{"formula": "ScCdGa", "functional": "PBE", "state": "optimized geometry", "lattice": [[-5.2297, -0.1810, 2.0689], [-2.7302, -4.4093, -2.1861], [-0.8009, -3.5122, 3.0204]], "species": ["Sc", "Sc", "Ga", "Ga", "Cd", "Cd"], "frac_coords": [[0.4512, 0.4687, 0.4985], [0.9513, 0.9688, 0.4984], [0.3805, 0.8992, 0.8185], [0.5221, 0.0381, 0.1782], [0.0428, 0.5617, 0.1561], [0.8595, 0.3759, 0.8410]], "formation_enthalpy_0k_kj_per_mol_atoms": -34.8, "magmom_total_mub_per_cell": 0.000, "rho_g_cm3": 6.3}



(16)
{"formula": "ScCd3Ga", "functional": "PBE", "state": "optimized geometry", "lattice": [[5.0720, 0.0000, 0.0000], [0.0000, 5.0720, 0.0000], [0.0000, 0.0000, 5.0720]], "species": ["Sc", "Ga", "Cd", "Cd", "Cd"], "frac_coords": [[0.5000, 0.5000, 0.5000], [0.0000, 0.0000, 0.0000], [0.0000, 0.5000, 0.0000], [0.0000, 0.0000, 0.5000], [0.5000, 0.0000, 0.0000]], "e_above_lowest_polymorph_mev_per_atom": 0, "formation_enthalpy_0k_kj_per_mol_atoms": 33.8, "magmom_total_mub_per_cell": 0.000, "rho_g_cm3": 5.8}



(17)
{"formula": "Sc8CdGa2", "functional": "PBE", "state": "optimized geometry", "lattice": [[5.0844, -0.1993, -0.2992], [-1.1202, 7.5888, -0.3514], [-1.1202, -3.2471, 6.8680]], "species": ["Sc", "Sc", "Sc", "Sc", "Sc", "Sc", "Sc", "Sc", "Cd", "Ga", "Ga"], "frac_coords": [[0.8913, 0.9126, 0.6708], [0.8913, 0.6708, 0.9126], [0.2996, 0.6022, 0.6022], [0.5000, 0.7725, 0.2275], [0.5000, 0.2275, 0.7725], [0.7004, 0.3978, 0.3978], [0.1087, 0.3292, 0.0874], [0.1087, 0.0874, 0.3292], [0.5000, 0.0000, 0.0000], [0.0000, 0.3051, 0.6949], [0.0000, 0.6949, 0.3051]], "formation_enthalpy_0k_kj_per_mol_atoms": -18.3, "magmom_total_mub_per_cell": 0.215, "rho_g_cm3": 4.0}



(18)
{"formula": "Sc6CdGa", "functional": "PBE", "state": "optimized geometry", "lattice": [[-1.4472, 2.7164, -3.2114], [2.4633, -2.2055, -2.9756], [-6.8228, -5.4961, -1.5743]], "species": ["Sc", "Sc", "Sc", "Sc", "Sc", "Sc", "Cd", "Ga"], "frac_coords": [[0.5000, 0.5000, 0.0000], [0.5000, 0.5000, 0.5000], [0.5000, 0.0000, 0.2588], [0.5000, 0.0000, 0.7412], [0.0000, 0.5000, 0.2588], [0.0000, 0.5000, 0.7412], [0.0000, 0.0000, 0.0000], [0.0000, 0.0000, 0.5000]], "e_above_lowest_polymorph_mev_per_atom": 0, "formation_enthalpy_0k_kj_per_mol_atoms": -21.4, "magmom_total_mub_per_cell": 2.231, "rho_g_cm3": 4.3}



(19)
{"formula": "Sc5CdGa3", "functional": "PBE", "state": "optimized geometry", "lattice": [[-5.6214, -2.1250, -0.0823], [2.8047, -7.5160, 2.4936], [-2.2550, 5.7445, 5.6999]], "species": ["Sc", "Sc", "Sc", "Sc", "Sc", "Sc", "Sc", "Sc", "Sc", "Sc", "Cd", "Cd", "Ga", "Ga", "Ga", "Ga", "Ga", "Ga"], "frac_coords": [[0.0000, 0.6667, 0.3333], [0.5000, 0.3333, 0.6667], [0.0000, 0.3333, 0.6667], [0.5000, 0.6667, 0.3333], [0.7500, 0.6917, 0.6917], [0.7500, 0.0000, 0.3083], [0.7500, 0.3083, 0.0000], [0.2500, 0.3083, 0.3083], [0.2500, 0.0000, 0.6917], [0.2500, 0.6917, 0.0000], [0.0000, 0.0000, 0.0000], [0.5000, 0.0000, 0.0000], [0.7500, 0.3614, 0.3614], [0.7500, 0.0000, 0.6386], [0.7500, 0.6386, 0.0000], [0.2500, 0.6386, 0.6386], [0.2500, 0.0000, 0.3614], [0.2500, 0.3614, 0.0000]], "formation_enthalpy_0k_kj_per_mol_atoms": -47.4, "magmom_total_mub_per_cell": 0.000, "rho_g_cm3": 4.9}



(20)
{"formula": "ScCdGa", "functional": "PBE", "state": "optimized geometry", "lattice": [[-4.0326, -0.2993, -2.1380], [1.2172, -2.2953, -1.9747], [-2.3216, -5.6829, 5.1747]], "species": ["Sc", "Sc", "Ga", "Ga", "Cd", "Cd"], "frac_coords": [[0.8658, 0.4171, 0.0201], [0.3658, 0.4171, 0.5201], [0.3658, 0.9167, 0.8602], [0.3658, 0.9173, 0.1800], [0.8658, 0.9171, 0.6920], [0.8658, 0.9169, 0.3482]], "formation_enthalpy_0k_kj_per_mol_atoms": -35.7, "magmom_total_mub_per_cell": 0.000, "rho_g_cm3": 6.3}